A plane-wave DFT calculation with PBE-GGA was carried out for an optimized crystal structure of ZnIn2PbCl6.

Properties
- Magnetic moment: 0.0 μB/f.u.
- Symmetry: P1, No. 1
- Mass density: 4.0 g/cm³

Unit cell a=7.4919 b=7.4947 c=7.4467 alpha=59.79 beta=59.88 gamma=59.89
Sites, in units of the cell vectors:
Cl1 0.0182 0.5611 0.2594
Cl2 0.1071 0.4784 0.7894
Cl3 0.5587 0.1624 0.2612
Cl4 0.6254 0.1047 0.7912
Cl5 0.1610 0.0182 0.2629
Cl6 0.4798 0.6253 0.7890
In1 0.0453 0.0435 0.8651
In2 0.5372 0.5378 0.3877
Pb1 0.8154 0.8162 0.5522
Zn1 0.3137 0.3140 0.0571

***

A plane-wave DFT calculation with PBE-GGA was carried out for an optimized crystal structure of ZnInPbCl5.

Properties
- Magnetic moment: 0.0 μB/f.u.
- Symmetry: C2/c, No. 15
- Mass density: 3.6 g/cm³

Unit cell a=7.6751 b=7.6751 c=10.1789 alpha=104.30 beta=104.30 gamma=106.18
Sites, in units of the cell vectors:
Cl1 0.1022 0.8978 0.2500
Cl2 0.7428 0.5973 0.4303
Cl3 0.3372 0.9154 0.6415
Cl4 0.5973 0.7428 0.9303
Cl5 0.2572 0.4027 0.5697
Cl6 0.8978 0.1022 0.7500
Cl7 0.4027 0.2572 0.0697
Cl8 0.6628 0.0846 0.3585
Cl9 0.9154 0.3372 0.1415
Cl10 0.0846 0.6628 0.8585
In1 0.6538 0.3462 0.7500
In2 0.3462 0.6538 0.2500
Pb1 0.0000 0.0000 0.5000
Pb2 0.0000 0.0000 0.0000
Zn1 0.6838 0.3162 0.2500
Zn2 0.3162 0.6838 0.7500

***

A plane-wave DFT calculation with PBE-GGA was carried out for an optimized crystal structure of In2PdCl.

Properties
- Magnetic moment: 0.0 μB/f.u.
- Symmetry: Fm-3m, No. 225
- Mass density: 6.7 g/cm³

Unit cell a=5.0758 b=5.0758 c=5.0758 alpha=60.00 beta=60.00 gamma=60.00
Sites, in units of the cell vectors:
Pd1 0.5000 0.5000 0.5000
Cl1 0.0000 0.0000 0.0000
In1 0.7500 0.7500 0.7500
In2 0.2500 0.2500 0.2500

***

A plane-wave DFT calculation with PBE-GGA was carried out for an optimized crystal structure of InPdCl2.

Properties
- Magnetic moment: 0.0 μB/f.u.
- Symmetry: R-3m, No. 166
- Mass density: 4.8 g/cm³

Unit cell a=9.0681 b=9.0681 c=9.0681 alpha=23.21 beta=23.21 gamma=23.21
Sites, in units of the cell vectors:
Cl1 0.9128 0.9128 0.9128
Cl2 0.0872 0.0872 0.0872
Pd1 0.0000 0.0000 0.0000
In1 0.5000 0.5000 0.5000

***

A plane-wave DFT calculation with PBE-GGA was carried out for an optimized crystal structure of In2PdCl.

Properties
- Magnetic moment: 0.0 μB/f.u.
- Symmetry: I-42d, No. 122
- Mass density: 4.6 g/cm³

Unit cell a=6.4529 b=6.4529 c=7.8569 alpha=65.75 beta=65.75 gamma=90.00
Sites, in units of the cell vectors:
Pd1 0.7500 0.2500 0.5000
Pd2 0.0000 0.0000 0.0000
In1 0.8750 0.9242 0.7500
In2 0.6742 0.1250 0.2500
In3 0.3750 0.3258 0.7500
In4 0.0758 0.6250 0.2500
Cl1 0.5000 0.5000 0.0000
Cl2 0.2500 0.7500 0.5000

***

A plane-wave DFT calculation with PBE-GGA was carried out for an optimized crystal structure of InPdCl2.

Properties
- Magnetic moment: 0.0 μB/f.u.
- Symmetry: Fm-3m, No. 225
- Mass density: 5.8 g/cm³

Unit cell a=4.9168 b=4.9168 c=4.9168 alpha=60.00 beta=60.00 gamma=60.00
Sites, in units of the cell vectors:
In1 0.5000 0.5000 0.5000
Cl1 0.2500 0.2500 0.2500
Cl2 0.7500 0.7500 0.7500
Pd1 0.0000 0.0000 0.0000

***

A plane-wave DFT calculation with PBE-GGA was carried out for an optimized crystal structure of InPd3Cl.

Properties
- Magnetic moment: 0.0 μB/f.u.
- Symmetry: Pm-3m, No. 221
- Mass density: 6.1 g/cm³

Unit cell a=5.0316 b=5.0316 c=5.0316 alpha=90.00 beta=90.00 gamma=90.00
Sites, in units of the cell vectors:
Pd1 0.0000 0.5000 0.0000
Pd2 0.5000 0.0000 0.0000
Pd3 0.0000 0.0000 0.5000
Cl1 0.5000 0.5000 0.5000
In1 0.0000 0.0000 0.0000

***

A plane-wave DFT calculation with PBE-GGA was carried out for an optimized crystal structure of InPdCl2.

Properties
- Magnetic moment: 1.0 μB/f.u.
- Symmetry: I-42d, No. 122
- Mass density: 3.9 g/cm³

Unit cell a=5.9656 b=5.9656 c=8.2209 alpha=68.73 beta=68.73 gamma=90.00
Sites, in units of the cell vectors:
In1 0.0000 0.0000 0.0000
In2 0.7500 0.2500 0.5000
Cl1 0.5338 0.1250 0.2500
Cl2 0.2162 0.6250 0.2500
Cl3 0.8750 0.7838 0.7500
Cl4 0.3750 0.4662 0.7500
Pd1 0.5000 0.5000 0.0000
Pd2 0.2500 0.7500 0.5000

***

| no. | DFT total energy (eV/f.u.) | DOS at the Fermi energy (states/eV per cell) | ΔE_f (raw) (kJ per mole of atoms) |
| --- | --- | --- | --- |
| 1 | -31.19 | 0.0 | -93 |
| 2 | -25.48 | 0.0 | -103 |
| 3 | -13.19 | 1.7 | -16 |
| 4 | -12.73 | 2.7 | -27 |
| 5 | -13.71 | 3.7 | -29 |
| 6 | -12.23 | 7.1 | -15 |
| 7 | -17.13 | 0.0 | 58 |
| 8 | -12.82 | 0.2 | -29 |